[1]
Here is Tb2MgTi after structural relaxation from Alexandria via LeMat-Bulk. Energies are from PBE.

Structure (POSCAR):
```
Tb2MgTi
1.0
7.443 0.000 0.000
0.000 7.443 0.000
0.000 0.000 7.443
Tb Mg Ti
8 4 4
Direct
0.250 0.250 0.250
0.250 0.250 0.750
0.250 0.750 0.250
0.250 0.750 0.750
0.750 0.250 0.250
0.750 0.250 0.750
0.750 0.750 0.250
0.750 0.750 0.750
0.000 0.000 0.000
0.000 0.500 0.500
0.500 0.000 0.500
0.500 0.500 0.000
0.000 0.000 0.500
0.000 0.500 0.000
0.500 0.000 0.000
0.500 0.500 0.500
```

Results
Fermi-level density of states = 28.52 states/eV per cell
spin magnetization = 2.04 μB/f.u.
energy above the lowest structure with this stoichiometry = 65.0 meV/atom
DFT formation energy = 0.14 eV per atom

=====

[2]
Here is TbMg4Ti after structural relaxation from Alexandria via LeMat-Bulk. Energies are from PBE.

Structure (POSCAR):
```
TbMg4Ti
1.0
0.000 4.131 4.131
4.131 0.000 4.131
4.131 4.131 0.000
Tb Mg Ti
1 4 1
Direct
0.000 0.000 0.000
0.376 0.376 0.376
0.376 0.376 0.873
0.376 0.873 0.376
0.873 0.376 0.376
0.750 0.750 0.750
```

Results
Fermi-level density of states = 7.30 states/eV per cell
spin magnetization = 2.96 μB/f.u.
DFT formation energy = 0.12 eV per atom

=====

[3]
Here is TbTmMgTi after structural relaxation from Alexandria via LeMat-Bulk. Energies are from PBE.

Structure (POSCAR):
```
TbTmMgTi
1.0
7.398 0.000 0.000
0.000 7.398 0.000
0.000 0.000 7.398
Tb Tm Mg Ti
4 4 4 4
Direct
0.000 0.000 0.000
0.000 0.500 0.500
0.500 0.000 0.500
0.500 0.500 0.000
0.000 0.000 0.500
0.000 0.500 0.000
0.500 0.000 0.000
0.500 0.500 0.500
0.250 0.250 0.750
0.250 0.750 0.250
0.750 0.250 0.250
0.750 0.750 0.750
0.250 0.250 0.250
0.250 0.750 0.750
0.750 0.250 0.750
0.750 0.750 0.250
```

Results
Fermi-level density of states = 29.62 states/eV per cell
spin magnetization = 2.16 μB/f.u.
DFT formation energy = 0.15 eV per atom

=====

[4]
Here is TbYMgTi after structural relaxation from Alexandria via LeMat-Bulk. Energies are from PBE.

Structure (POSCAR):
```
TbYMgTi
1.0
7.452 0.000 0.000
0.000 7.452 0.000
0.000 0.000 7.452
Tb Y Mg Ti
4 4 4 4
Direct
0.000 0.000 0.000
0.000 0.500 0.500
0.500 0.000 0.500
0.500 0.500 0.000
0.000 0.000 0.500
0.000 0.500 0.000
0.500 0.000 0.000
0.500 0.500 0.500
0.250 0.250 0.250
0.250 0.750 0.750
0.750 0.250 0.750
0.750 0.750 0.250
0.250 0.250 0.750
0.250 0.750 0.250
0.750 0.250 0.250
0.750 0.750 0.750
```

Results
Fermi-level density of states = 30.53 states/eV per cell
spin magnetization = 2.14 μB/f.u.
DFT formation energy = 0.14 eV per atom

=====

[5]
Here is TbMgZrTi after structural relaxation from Alexandria via LeMat-Bulk. Energies are from PBE.

Structure (POSCAR):
```
TbMgZrTi
1.0
7.196 0.000 0.000
0.000 7.196 0.000
0.000 0.000 7.196
Tb Mg Zr Ti
4 4 4 4
Direct
0.000 0.000 0.000
0.000 0.500 0.500
0.500 0.000 0.500
0.500 0.500 0.000
0.250 0.250 0.250
0.250 0.750 0.750
0.750 0.250 0.750
0.750 0.750 0.250
0.000 0.000 0.500
0.000 0.500 0.000
0.500 0.000 0.000
0.500 0.500 0.500
0.250 0.250 0.750
0.250 0.750 0.250
0.750 0.250 0.250
0.750 0.750 0.750
```

Results
Fermi-level density of states = 18.06 states/eV per cell
spin magnetization = 2.50 μB/f.u.
DFT formation energy = 0.16 eV per atom

=====

[6]
Here is Tb3MgTl after structural relaxation from Alexandria via LeMat-Bulk. Energies are from PBE.

Structure (POSCAR):
```
Tb3MgTl
1.0
8.134 -2.661 0.000
8.134 2.661 0.000
-0.849 0.000 6.583
Tb Mg Tl
6 2 2
Direct
0.021 0.021 0.257
0.204 0.204 0.649
0.399 0.399 0.045
0.601 0.601 0.955
0.796 0.796 0.351
0.979 0.979 0.743
0.207 0.207 0.129
0.793 0.793 0.871
0.399 0.399 0.534
0.601 0.601 0.466
```

Results
Fermi-level density of states = 8.33 states/eV per cell
spin magnetization = 0.00 μB/f.u.
energy above the lowest structure with this stoichiometry = 20.8 meV/atom
DFT formation energy = -0.16 eV per atom

=====

[7]
Here is TbMgTl6 after structural relaxation from Alexandria via LeMat-Bulk. Energies are from PBE.

Structure (POSCAR):
```
TbMgTl6
1.0
9.283 0.000 0.000
0.000 10.016 0.000
0.000 0.000 4.756
Tb Mg Tl
2 2 12
Direct
0.000 0.000 0.000
0.500 0.500 0.000
0.000 0.500 0.000
0.500 0.000 0.000
0.000 0.239 0.500
0.000 0.761 0.500
0.235 0.500 0.500
0.250 0.250 0.000
0.250 0.750 0.000
0.265 0.000 0.500
0.500 0.261 0.500
0.500 0.739 0.500
0.735 0.000 0.500
0.750 0.250 0.000
0.750 0.750 0.000
0.765 0.500 0.500
```

Results
Fermi-level density of states = 8.23 states/eV per cell
spin magnetization = 0.00 μB/f.u.
DFT formation energy = -0.07 eV per atom

=====

[8]
Here is TbMg6Tl6 after structural relaxation from Alexandria via LeMat-Bulk. Energies are from PBE.

Structure (POSCAR):
```
TbMg6Tl6
1.0
-3.067 4.892 5.431
3.067 -4.892 5.431
3.067 4.892 -5.431
Tb Mg Tl
1 6 6
Direct
0.000 0.000 0.000
0.000 0.000 0.500
0.000 0.500 0.000
0.247 0.500 0.747
0.500 0.000 0.000
0.500 0.500 0.500
0.753 0.500 0.253
0.162 0.662 0.500
0.335 0.335 0.000
0.340 0.000 0.340
0.660 0.000 0.660
0.665 0.665 0.000
0.838 0.338 0.500
```

Results
Fermi-level density of states = 5.61 states/eV per cell
spin magnetization = 0.00 μB/f.u.
DFT formation energy = -0.08 eV per atom

=====

[9]
Here is Tb8MgTl2 after structural relaxation from Alexandria via LeMat-Bulk. Energies are from PBE.

Structure (POSCAR):
```
Tb8MgTl2
1.0
8.983 -2.623 0.000
8.983 2.623 0.000
-1.182 0.000 7.010
Tb Mg Tl
8 1 2
Direct
0.032 0.032 0.245
0.176 0.176 0.767
0.335 0.335 0.563
0.410 0.410 0.051
0.590 0.590 0.949
0.665 0.665 0.437
0.824 0.824 0.233
0.968 0.968 0.755
0.500 0.500 0.500
0.209 0.209 0.212
0.791 0.791 0.788
```

Results
Fermi-level density of states = 10.85 states/eV per cell
spin magnetization = 0.00 μB/f.u.
energy above the lowest structure with this stoichiometry = 38.3 meV/atom
DFT formation energy = -0.10 eV per atom

=====

[10]
Here is Tb5Mg2Tl after structural relaxation from Alexandria via LeMat-Bulk. Energies are from PBE.

Structure (POSCAR):
```
Tb5Mg2Tl
1.0
-3.943 3.943 7.649
3.943 -3.943 7.649
3.943 3.943 -7.649
Tb Mg Tl
10 4 2
Direct
0.000 0.000 0.000
0.003 0.503 0.823
0.180 0.003 0.500
0.320 0.820 0.823
0.497 0.320 0.500
0.500 0.500 0.000
0.503 0.680 0.500
0.680 0.180 0.177
0.820 0.997 0.500
0.997 0.497 0.177
0.128 0.372 0.500
0.372 0.872 0.244
0.628 0.128 0.756
0.872 0.628 0.500
0.250 0.250 0.000
0.750 0.750 0.000
```

Results
Fermi-level density of states = 16.43 states/eV per cell
spin magnetization = 0.00 μB/f.u.
DFT formation energy = -0.03 eV per atom

=====

[11]
Here is Tb2Mg3Tl4 after structural relaxation from Alexandria via LeMat-Bulk. Energies are from PBE.

Structure (POSCAR):
```
Tb2Mg3Tl4
1.0
3.256 -8.341 0.000
3.256 8.341 0.000
0.000 0.000 8.505
Tb Mg Tl
4 6 8
Direct
0.105 0.895 0.910
0.395 0.605 0.410
0.605 0.395 0.590
0.895 0.105 0.090
0.000 0.000 0.500
0.024 0.476 0.750
0.476 0.024 0.250
0.500 0.500 0.000
0.524 0.976 0.750
0.976 0.524 0.250
0.177 0.823 0.535
0.199 0.301 0.750
0.301 0.199 0.250
0.323 0.677 0.035
0.677 0.323 0.965
0.699 0.801 0.750
0.801 0.699 0.250
0.823 0.177 0.465
```

Results
Fermi-level density of states = 10.78 states/eV per cell
spin magnetization = 0.00 μB/f.u.
DFT formation energy = -0.16 eV per atom

=====

[12]
Here is TbMg4Tl7 after structural relaxation from Alexandria via LeMat-Bulk. Energies are from PBE.

Structure (POSCAR):
```
TbMg4Tl7
1.0
7.216 -2.982 0.000
7.216 2.982 0.000
-4.953 0.000 7.755
Tb Mg Tl
1 4 7
Direct
0.000 0.000 0.000
0.306 0.306 0.664
0.473 0.473 0.303
0.527 0.527 0.697
0.694 0.694 0.336
0.069 0.069 0.403
0.205 0.205 0.889
0.272 0.272 0.309
0.500 0.500 0.000
0.728 0.728 0.691
0.795 0.795 0.111
0.931 0.931 0.597
```

Results
Fermi-level density of states = 4.56 states/eV per cell
spin magnetization = 0.00 μB/f.u.
DFT formation energy = 0.02 eV per atom

=====

[13]
Here is TbMg4Tl2 after structural relaxation from Alexandria via LeMat-Bulk. Energies are from PBE.

Structure (POSCAR):
```
TbMg4Tl2
1.0
8.713 0.000 0.000
0.000 8.713 0.000
0.000 0.000 4.575
Tb Mg Tl
2 8 4
Direct
0.000 0.000 0.000
0.500 0.500 0.500
0.101 0.347 0.500
0.153 0.601 0.000
0.347 0.101 0.500
0.399 0.847 0.000
0.601 0.153 0.000
0.653 0.899 0.500
0.847 0.399 0.000
0.899 0.653 0.500
0.193 0.807 0.500
0.307 0.307 0.000
0.693 0.693 0.000
0.807 0.193 0.500
```

Results
Fermi-level density of states = 8.72 states/eV per cell
spin magnetization = 0.00 μB/f.u.
DFT formation energy = -0.11 eV per atom

=====

[14]
Here is Tb4MgTl2 after structural relaxation from Alexandria via LeMat-Bulk. Energies are from PBE.

Structure (POSCAR):
```
Tb4MgTl2
1.0
2.646 1.527 8.460
-2.646 1.527 8.460
0.000 -3.055 8.460
Tb Mg Tl
4 1 2
Direct
0.115 0.115 0.115
0.369 0.369 0.369
0.631 0.631 0.631
0.885 0.885 0.885
0.500 0.500 0.500
0.244 0.244 0.244
0.756 0.756 0.756
```

Results
Fermi-level density of states = 6.67 states/eV per cell
spin magnetization = 0.00 μB/f.u.
energy above the lowest structure with this stoichiometry = 0.0 meV/atom
DFT formation energy = -0.17 eV per atom

=====

[15]
Here is Tb5MgTl6 after structural relaxation from Alexandria via LeMat-Bulk. Energies are from PBE.

Structure (POSCAR):
```
Tb5MgTl6
1.0
-2.656 3.797 8.073
2.656 -3.797 8.073
2.656 3.797 -8.073
Tb Mg Tl
5 1 6
Direct
0.000 0.000 0.000
0.170 0.670 0.500
0.342 0.342 0.000
0.658 0.658 0.000
0.830 0.330 0.500
0.500 0.000 0.500
0.087 0.836 0.251
0.249 0.500 0.749
0.415 0.164 0.251
0.585 0.836 0.749
0.751 0.500 0.251
0.913 0.164 0.749
```

Results
Fermi-level density of states = 9.17 states/eV per cell
spin magnetization = 0.00 μB/f.u.
energy above the lowest structure with this stoichiometry = 0.0 meV/atom
DFT formation energy = -0.31 eV per atom

=====

[16]
Here is Tb3MgTl4 after structural relaxation from Alexandria via LeMat-Bulk. Energies are from PBE.

Structure (POSCAR):
```
Tb3MgTl4
1.0
2.635 1.521 8.931
-2.635 1.521 8.931
0.000 -3.043 8.931
Tb Mg Tl
3 1 4
Direct
0.000 0.000 0.000
0.243 0.243 0.243
0.757 0.757 0.757
0.500 0.500 0.500
0.124 0.124 0.124
0.375 0.375 0.375
0.625 0.625 0.625
0.876 0.876 0.876
```

Results
Fermi-level density of states = 4.34 states/eV per cell
spin magnetization = 0.00 μB/f.u.
energy above the lowest structure with this stoichiometry = 0.0 meV/atom
DFT formation energy = -0.30 eV per atom

=====

[17]
Here is Tb8Mg2Tl after structural relaxation from Alexandria via LeMat-Bulk. Energies are from PBE.

Structure (POSCAR):
```
Tb8Mg2Tl
1.0
8.200 -2.693 0.000
8.200 2.693 0.000
-4.443 0.000 7.372
Tb Mg Tl
8 2 1
Direct
0.067 0.067 0.220
0.137 0.137 0.682
0.318 0.318 0.555
0.409 0.409 0.047
0.591 0.591 0.953
0.682 0.682 0.445
0.863 0.863 0.318
0.933 0.933 0.780
0.228 0.228 0.114
0.772 0.772 0.886
0.500 0.500 0.500
```

Results
Fermi-level density of states = 10.72 states/eV per cell
spin magnetization = 0.00 μB/f.u.
DFT formation energy = -0.09 eV per atom

=====

[18]
Here is Tb2MgTl8 after structural relaxation from Alexandria via LeMat-Bulk. Energies are from PBE.

Structure (POSCAR):
```
Tb2MgTl8
1.0
5.026 0.000 0.000
0.000 5.026 0.000
0.000 0.000 12.071
Tb Mg Tl
2 1 8
Direct
0.000 0.000 0.184
0.000 0.000 0.816
0.000 0.000 0.500
0.000 0.500 0.000
0.000 0.500 0.363
0.000 0.500 0.637
0.500 0.000 0.000
0.500 0.000 0.363
0.500 0.000 0.637
0.500 0.500 0.183
0.500 0.500 0.817
```

Results
Fermi-level density of states = 4.31 states/eV per cell
spin magnetization = 0.00 μB/f.u.
DFT formation energy = -0.15 eV per atom

=====

[19]
Here is Tb8MgTl6 after structural relaxation from Alexandria via LeMat-Bulk. Energies are from PBE.

Structure (POSCAR):
```
Tb8MgTl6
1.0
4.569 2.638 6.425
-4.569 2.638 6.425
0.000 -5.275 6.425
Tb Mg Tl
8 1 6
Direct
0.078 0.713 0.391
0.168 0.168 0.168
0.287 0.609 0.922
0.391 0.078 0.713
0.609 0.922 0.287
0.713 0.391 0.078
0.832 0.832 0.832
0.922 0.287 0.609
0.500 0.500 0.500
0.100 0.439 0.772
0.228 0.900 0.561
0.439 0.772 0.100
0.561 0.228 0.900
0.772 0.100 0.439
0.900 0.561 0.228
```

Results
Fermi-level density of states = 17.95 states/eV per cell
spin magnetization = 0.00 μB/f.u.
DFT formation energy = -0.13 eV per atom

=====

[20]
Here is TbMgTl2 after structural relaxation from Alexandria via LeMat-Bulk. Energies are from PBE.

Structure (POSCAR):
```
TbMgTl2
1.0
4.766 0.000 0.000
0.000 4.766 0.000
0.000 0.000 4.491
Tb Mg Tl
1 1 2
Direct
0.000 0.000 0.000
0.500 0.500 0.000
0.000 0.500 0.500
0.500 0.000 0.500
```

Results
Fermi-level density of states = 2.05 states/eV per cell
spin magnetization = 0.00 μB/f.u.
DFT formation energy = -0.27 eV per atom